[1]
# Er4Pb2N

A relaxed structure of Er4Pb2N (PBE, Alexandria).

ΔE_f (raw), eV/f.u.: -5.578
Size of the total moment, μB/cell: 0.00
Density of states at the Fermi level, states/eV per cell: 6.91

Structure (POSCAR):
```
Er4Pb2N
1.0
6.474 0.000 -0.359
0.000 6.717 0.000
-2.793 0.000 8.716
N Pb Er
2 4 8
Cartesian
2.338 1.679 6.634 N
1.343 5.038 1.724 N
4.422 5.038 0.007 Pb
-0.741 1.679 8.351 Pb
3.687 5.038 4.877 Pb
-0.006 1.679 3.481 Pb
-0.441 5.038 2.971 Er
1.061 0.022 6.079 Er
-1.769 5.038 8.276 Er
4.122 1.679 5.387 Er
2.620 3.381 2.278 Er
2.620 6.695 2.278 Er
5.450 1.679 0.081 Er
1.061 3.336 6.079 Er
```

=====

[2]
# Er5Pb5N

A relaxed structure of Er5Pb5N (PBE, Alexandria).

ΔE_f (raw), eV/f.u.: -4.928
Size of the total moment, μB/cell: 0.00
Density of states at the Fermi level, states/eV per cell: 5.89

Structure (POSCAR):
```
Er5Pb5N
1.0
5.867 0.000 0.000
-2.933 6.130 -0.630
0.000 -2.912 8.598
Pb Er N
5 5 1
Cartesian
0.000 1.643 5.224 Pb
2.933 -0.958 6.133 Pb
0.000 -1.456 4.299 Pb
0.000 4.176 1.836 Pb
2.933 1.575 2.745 Pb
0.000 0.920 2.101 Er
0.000 -0.745 7.626 Er
2.933 2.298 5.868 Er
2.933 0.000 0.000 Er
2.933 3.963 0.343 Er
0.000 0.000 0.000 N
```

=====

[3]
# Er5Pb4N

A relaxed structure of Er5Pb4N (PBE, Alexandria).

ΔE_f (raw), eV/f.u.: -5.320
Size of the total moment, μB/cell: 0.00
Density of states at the Fermi level, states/eV per cell: 5.96

Structure (POSCAR):
```
Er5Pb4N
1.0
-1.947 4.686 3.456
-4.963 4.288 -3.156
-5.797 -1.452 4.156
Er Pb N
5 4 1
Cartesian
-4.048 3.628 3.699 Er
-8.655 3.888 0.751 Er
-0.844 2.032 1.499 Er
-4.180 3.179 -1.220 Er
-8.524 4.337 5.670 Er
-7.052 2.705 3.330 Pb
-5.677 4.873 1.166 Pb
-3.955 1.402 1.389 Pb
-8.775 6.176 3.108 Pb
-0.109 0.263 0.194 N
```

=====

[4]
# Er7Pb4N

A relaxed structure of Er7Pb4N (PBE, Alexandria).

ΔE_f (raw), eV/f.u.: -5.134
Size of the total moment, μB/cell: 0.40
Density of states at the Fermi level, states/eV per cell: 9.45

Structure (POSCAR):
```
Er7Pb4N
1.0
4.969 0.000 0.000
2.485 8.765 0.327
2.485 0.831 8.117
N Er Pb
1 7 4
Cartesian
0.000 0.000 0.000 N
4.969 5.385 6.069 Er
7.454 2.830 7.287 Er
2.485 1.574 3.470 Er
2.485 0.000 0.000 Er
4.969 4.210 2.375 Er
7.454 8.021 4.974 Er
2.485 6.766 1.157 Er
7.454 6.477 7.548 Pb
2.485 3.119 0.895 Pb
4.969 7.197 3.315 Pb
4.969 2.398 5.129 Pb
```

=====

[5]
# Er10Pb4N3

A relaxed structure of Er10Pb4N3 (PBE, Alexandria).

ΔE_f (raw), eV/f.u.: -15.494
Size of the total moment, μB/cell: 0.00
Density of states at the Fermi level, states/eV per cell: 9.07

Structure (POSCAR):
```
Er10Pb4N3
1.0
-2.061 2.825 3.220
-3.913 -2.695 -0.140
9.381 -10.018 11.287
N Er Pb
3 10 4
Cartesian
1.769 -2.754 3.549 N
1.637 -7.133 10.817 N
0.000 0.000 0.000 N
0.872 -1.357 1.749 Er
2.692 -8.583 9.255 Er
0.715 -1.304 5.111 Er
-1.957 -1.347 -0.070 Er
2.642 -4.113 5.300 Er
-1.031 1.413 1.610 Er
0.764 -5.775 9.066 Er
3.618 -5.823 10.935 Er
-0.211 -4.064 3.431 Er
2.534 -8.530 12.617 Er
3.813 -5.935 7.648 Pb
-0.406 -3.953 6.718 Pb
5.521 -8.594 11.076 Pb
-2.115 -1.293 3.290 Pb
```

=====

[6]
# Er4Pb2SN

A relaxed structure of Er4Pb2SN (PBE, Alexandria).

ΔE_f (raw), eV/f.u.: -8.911
Size of the total moment, μB/cell: 0.00
Density of states at the Fermi level, states/eV per cell: 3.18

Structure (POSCAR):
```
Er4Pb2SN
1.0
3.668 0.000 0.000
0.000 6.471 0.134
0.000 -2.277 7.684
S Pb N Er
1 2 1 4
Cartesian
1.834 3.236 0.067 S
1.834 -1.138 3.842 Pb
0.000 2.097 3.909 Pb
0.000 0.000 0.000 N
0.000 -0.283 6.320 Er
1.834 0.918 1.351 Er
0.000 4.477 1.498 Er
1.834 3.277 6.466 Er
```

=====

[7]
# Er3TePbN

A relaxed structure of Er3TePbN (PBE, Alexandria).

ΔE_f (raw), eV/f.u.: -6.316
Size of the total moment, μB/cell: 0.00
Density of states at the Fermi level, states/eV per cell: 3.38

Structure (POSCAR):
```
Er3TePbN
1.0
4.047 0.000 0.000
0.000 9.301 1.201
0.000 -2.318 8.830
Er Pb Te N
6 2 2 2
Cartesian
1.012 6.852 5.487 Er
3.035 7.875 2.573 Er
3.035 3.246 1.719 Er
1.012 -0.891 7.458 Er
3.035 0.132 4.543 Er
1.012 3.738 8.311 Er
1.012 0.988 1.920 Pb
3.035 5.995 8.110 Pb
3.035 1.573 7.576 Te
1.012 5.410 2.454 Te
1.012 -0.539 5.355 N
3.035 7.523 4.676 N
```

=====

[8]
# Er2Th4Pb3N2

A relaxed structure of Er2Th4Pb3N2 (PBE, Alexandria).

ΔE_f (raw), eV/f.u.: -7.980
Size of the total moment, μB/cell: 0.00
Density of states at the Fermi level, states/eV per cell: 6.54

Structure (POSCAR):
```
Er2Th4Pb3N2
1.0
4.818 0.000 0.000
0.000 4.818 0.000
-2.409 -2.409 13.047
Th Pb Er N
4 3 2 2
Cartesian
0.000 2.409 2.249 Th
2.409 0.000 2.249 Th
0.000 2.409 10.798 Th
2.409 0.000 10.798 Th
0.000 0.000 4.773 Pb
2.409 2.409 8.274 Pb
0.000 0.000 0.000 Pb
0.000 0.000 7.954 Er
2.409 2.409 5.093 Er
0.000 0.000 10.247 N
2.409 2.409 2.800 N
```

=====

[9]
# ErTm3Pb2N

A relaxed structure of ErTm3Pb2N (PBE, Alexandria).

ΔE_f (raw), eV/f.u.: -5.894
Size of the total moment, μB/cell: 0.00
Density of states at the Fermi level, states/eV per cell: 4.04

Structure (POSCAR):
```
ErTm3Pb2N
1.0
4.702 0.000 0.000
0.000 4.679 0.000
-2.351 -2.340 7.918
Tm Pb Er N
3 2 1 1
Cartesian
0.000 2.340 0.000 Tm
0.000 0.000 2.452 Tm
2.351 2.340 5.466 Tm
0.000 0.000 5.614 Pb
2.351 2.340 2.303 Pb
2.351 0.000 0.000 Er
0.000 0.000 0.000 N
```

=====

[10]
# Er4Pd2N

A relaxed structure of Er4Pd2N (PBE, Alexandria).

ΔE_f (raw), eV/f.u.: -6.459
Size of the total moment, μB/cell: 0.00
Density of states at the Fermi level, states/eV per cell: 5.50

Structure (POSCAR):
```
Er4Pd2N
1.0
-1.308 -1.763 -4.062
-3.692 -1.905 2.015
-1.300 7.767 -0.328
Er Pd N
4 2 1
Cartesian
-0.654 -0.882 -2.031 Er
-1.336 2.086 -0.475 Er
-4.963 2.013 -1.900 Er
-1.846 -0.953 1.008 Er
-2.792 4.360 -0.993 Pd
-3.508 -0.260 -1.382 Pd
0.000 0.000 0.000 N
```

=====

[11]
# Er3PdN

A relaxed structure of Er3PdN (PBE, Alexandria).

ΔE_f (raw), eV/f.u.: -4.703
Size of the total moment, μB/cell: 0.00
Density of states at the Fermi level, states/eV per cell: 5.96

Structure (POSCAR):
```
Er3PdN
1.0
4.683 0.000 0.000
0.000 4.683 0.000
0.000 0.000 4.683
Pd Er N
1 3 1
Cartesian
2.342 2.342 2.342 Pd
0.000 0.000 2.342 Er
2.342 0.000 0.000 Er
0.000 2.342 0.000 Er
0.000 0.000 0.000 N
```

=====

[12]
# Er2PdN

A relaxed structure of Er2PdN (PBE, Alexandria).

ΔE_f (raw), eV/f.u.: -3.212
Size of the total moment, μB/cell: 0.00
Density of states at the Fermi level, states/eV per cell: 1.94

Structure (POSCAR):
```
Er2PdN
1.0
-1.206 2.384 -1.989
-3.006 -0.354 -1.391
-4.758 4.267 5.210
N Er Pd
1 2 1
Cartesian
-4.485 3.149 0.915 N
-5.320 3.217 -1.286 Er
-3.649 3.080 3.116 Er
0.000 0.000 0.000 Pd
```